[1]
## Cs2LiGa2Te4 (GGA-PBE)

Data for an optimized crystal structure of Cs2LiGa2Te4. Values from VASP.

DOS(E_F) in states/eV/f.u.: 0.7
Energy relative to the elements, uncorrected in kJ/mol of atoms: -68
Symmetry: C2/m (12)

Cell and atoms, written as Quantum ESPRESSO input:
```
&SYSTEM
  ibrav = 0, nat = 9, ntyp = 4
/
ATOMIC_SPECIES
Cs 132.91 Cs.upf
Li 6.94 Li.upf
Ga 69.72 Ga.upf
Te 127.60 Te.upf
CELL_PARAMETERS angstrom
8.4412 -2.3894 0.0000
8.4412 2.3894 0.0000
-2.7242 0.0000 8.3137
ATOMIC_POSITIONS crystal
Cs 0.1251 0.1251 0.0490
Cs 0.8749 0.8749 0.9510
Li 0.0000 0.0000 0.5000
Ga 0.3326 0.3326 0.5169
Ga 0.6674 0.6674 0.4831
Te 0.2018 0.2018 0.6536
Te 0.4819 0.4819 0.7225
Te 0.5181 0.5181 0.2775
Te 0.7982 0.7982 0.3464
```

=====

[2]
## CaCdRu2 (GGA-PBE)

Data for an optimized crystal structure of CaCdRu2. Values from VASP.

DOS(E_F) in states/eV/f.u.: 4.6
Energy of formation from the pure elements in eV/atom: 0.300
Symmetry: Cm (8)

Cell and atoms, written as Quantum ESPRESSO input:
```
&SYSTEM
  ibrav = 0, nat = 4, ntyp = 3
/
ATOMIC_SPECIES
Ca 40.08 Ca.upf
Cd 112.41 Cd.upf
Ru 101.07 Ru.upf
CELL_PARAMETERS angstrom
5.4145 -1.4958 0.0000
5.4145 1.4958 0.0000
-1.8110 0.0000 4.6127
ATOMIC_POSITIONS crystal
Ca 0.0000 0.0000 0.0000
Cd 0.7860 0.7860 0.3363
Ru 0.2338 0.2338 0.7920
Ru 0.5373 0.5373 0.5270
```

=====

[3]
## PmHoBr2 (GGA-PBE)

Data for an optimized crystal structure of PmHoBr2. Values from VASP.

DOS(E_F) in states/eV/f.u.: 1.9
Energy relative to the elements, uncorrected in kJ/mol of atoms: -101
Symmetry: R-3m (166)

Cell and atoms, written as Quantum ESPRESSO input:
```
&SYSTEM
  ibrav = 0, nat = 4, ntyp = 3
/
ATOMIC_SPECIES
Pm 145.00 Pm.upf
Ho 164.93 Ho.upf
Br 79.90 Br.upf
CELL_PARAMETERS angstrom
1.8558 1.0715 10.0533
-1.8558 1.0715 10.0533
0.0000 -2.1429 10.0533
ATOMIC_POSITIONS crystal
Pm 0.0000 0.0000 0.0000
Ho 0.5000 0.5000 0.5000
Br 0.4053 0.4053 0.4053
Br 0.5947 0.5947 0.5947
```

=====

[4]
## Pm4SmSc3 (GGA-PBE)

Data for an optimized crystal structure of Pm4SmSc3. Values from VASP.

DOS(E_F) in states/eV/f.u.: 14.9
Energy of formation from the pure elements in eV/atom: 0.288
Symmetry: C2/m (12)

Cell and atoms, written as Quantum ESPRESSO input:
```
&SYSTEM
  ibrav = 0, nat = 8, ntyp = 3
/
ATOMIC_SPECIES
Pm 145.00 Pm.upf
Sm 150.36 Sm.upf
Sc 44.96 Sc.upf
CELL_PARAMETERS angstrom
13.5931 -1.7306 0.0000
13.5931 1.7306 0.0000
-0.3803 0.0000 5.6891
ATOMIC_POSITIONS crystal
Pm 0.1009 0.1009 0.0308
Pm 0.1889 0.1889 0.5624
Pm 0.8111 0.8111 0.4376
Pm 0.8991 0.8991 0.9692
Sm 0.0000 0.0000 0.5000
Sc 0.2940 0.2940 0.9277
Sc 0.5000 0.5000 0.0000
Sc 0.7060 0.7060 0.0723
```

=====

[5]
## Dy2YCu (GGA-PBE)

Data for an optimized crystal structure of Dy2YCu. Values from VASP.

DOS(E_F) in states/eV/f.u.: 4.8
Energy of formation from the pure elements in eV/atom: -0.110
Symmetry: Pnma (62)

Cell and atoms, written as Quantum ESPRESSO input:
```
&SYSTEM
  ibrav = 0, nat = 16, ntyp = 3
/
ATOMIC_SPECIES
Dy 162.50 Dy.upf
Y 88.91 Y.upf
Cu 63.55 Cu.upf
CELL_PARAMETERS angstrom
6.8541 0.0000 0.0000
0.0000 9.7331 0.0000
0.0000 0.0000 6.4691
ATOMIC_POSITIONS crystal
Dy 0.1903 0.0600 0.1843
Dy 0.1903 0.4400 0.1843
Dy 0.3097 0.5600 0.6843
Dy 0.3097 0.9400 0.6843
Dy 0.6903 0.0600 0.3157
Dy 0.6903 0.4400 0.3157
Dy 0.8097 0.5600 0.8157
Dy 0.8097 0.9400 0.8157
Y 0.0191 0.2500 0.6328
Y 0.4809 0.7500 0.1328
Y 0.5191 0.2500 0.8672
Y 0.9809 0.7500 0.3672
Cu 0.0960 0.7500 0.9442
Cu 0.4040 0.2500 0.4442
Cu 0.5960 0.7500 0.5558
Cu 0.9040 0.2500 0.0558
```

=====

[6]
## NiAg2Ir (GGA-PBE)

Data for an optimized crystal structure of NiAg2Ir. Values from VASP.

DOS(E_F) in states/eV/f.u.: 5.3
Energy of formation from the pure elements in eV/atom: 0.350
Symmetry: C2/m (12)

Cell and atoms, written as Quantum ESPRESSO input:
```
&SYSTEM
  ibrav = 0, nat = 4, ntyp = 3
/
ATOMIC_SPECIES
Ni 58.69 Ni.upf
Ag 107.87 Ag.upf
Ir 192.22 Ir.upf
CELL_PARAMETERS angstrom
4.7847 -1.3568 0.0000
4.7847 1.3568 0.0000
-0.8631 0.0000 4.6815
ATOMIC_POSITIONS crystal
Ni 0.0000 0.0000 0.0000
Ag 0.2536 0.2536 0.7537
Ag 0.7464 0.7464 0.2463
Ir 0.5000 0.5000 0.5000
```

=====

Q: DOS(E_F) of number 1 (Cs2LiGa2Te4)?
A: 0.7 states/eV/f.u.

=====

Q: Which of these has the lowest DOS(E_F)?
A: Cs2LiGa2Te4

=====

Q: What is the DOS(E_F) in the second record?
A: 4.6 states/eV/f.u.